The following is a DFT calculation (GGA-PBEsol) of crystalline ZnRuSeN2 at its relaxed geometry.

Cell lengths 3.7900, 3.7900, 4.7203 Å; angles 90.00, 90.00, 90.00 degrees
With the nearest neighbours (Å) after each atom.
Fractional coordinates of all 5 atoms:
Ru  0.0000  0.0000  0.5000  2 Se 2.36
Zn  0.5000  0.5000  0.5000  4 Ru 2.68
Se  0.0000  0.0000  0.0000  4 N 1.90
N  0.0000  0.5000  0.0000  2 Se 1.90
N  0.5000  0.0000  0.0000  2 Se 1.90

Properties
* E_form (uncorrected): 1.7402 eV/atom
* DOS at the Fermi energy: 0.65 states/eV/atom
* size of the total moment: 0.91 μB per cell

The following is a DFT calculation (GGA-PBEsol) of crystalline ZrRuSeN2 at its relaxed geometry.

Cell lengths 3.8279, 3.8279, 4.9241 Å; angles 90.00, 90.00, 90.00 degrees
With the nearest neighbours (Å) after each atom.
Fractional coordinates of all 5 atoms:
Ru  0.0000  0.0000  0.0000  4 N 1.91
Se  0.0000  0.0000  0.5000  2 Ru 2.46, 4 Zr 2.71
Zr  0.5000  0.5000  0.5000  4 Se 2.71
N  0.0000  0.5000  0.0000  2 Ru 1.91
N  0.5000  0.0000  0.0000  2 Ru 1.91

Properties
* E_form (uncorrected): 0.2873 eV/atom
* DOS at the Fermi energy: 0.69 states/eV/atom
* size of the total moment: 0.00 μB per cell

The following is a DFT calculation (GGA-PBEsol) of crystalline Sn3RuN at its relaxed geometry.

Cell lengths 4.4955, 4.4955, 4.4955 Å; angles 90.00, 90.00, 90.00 degrees
With the nearest neighbours (Å) after each atom.
Fractional coordinates of all 5 atoms:
Ru  0.5000  0.5000  0.5000  12 Sn 3.18
Sn  0.0000  0.5000  0.0000  2 N 2.25
Sn  0.0000  0.0000  0.5000  2 N 2.25
Sn  0.5000  0.0000  0.0000  2 N 2.25
N  0.0000  0.0000  0.0000  6 Sn 2.25

Properties
* E_form (uncorrected): 0.7240 eV/atom
* DOS at the Fermi energy: 1.21 states/eV/atom
* size of the total moment: 0.02 μB per cell

The following is a DFT calculation (GGA-PBEsol) of crystalline Sr2RuN at its relaxed geometry.

Cell lengths 3.7768, 7.6281, 7.6281 Å; angles 86.49, 75.67, 75.67 degrees
With the nearest neighbours (Å) after each atom.
Fractional coordinates of all 8 atoms:
Ru  0.0000  0.0000  0.0000  2 N 1.89
Ru  0.7500  0.5000  0.5000  2 N 1.89
N  0.5000  0.0000  0.0000  2 Ru 1.89
N  0.2500  0.5000  0.5000  2 Ru 1.89
Sr  0.8750  0.8009  0.6991  2 N 2.71, 2 Ru 3.02
Sr  0.3750  0.1991  0.3009  2 N 2.71, 2 Ru 3.02
Sr  0.4259  0.6991  0.1991  2 N 2.71, 2 Ru 3.02
Sr  0.3241  0.3009  0.8009  2 N 2.71, 2 Ru 3.02

Properties
* E_form (uncorrected): -0.3611 eV/atom
* DOS at the Fermi energy: 0.83 states/eV/atom
* size of the total moment: 0.00 μB per cell

The following is a DFT calculation (GGA-PBEsol) of crystalline Sr2RuN3 at its relaxed geometry.

Cell lengths 5.4499, 6.1889, 12.3126 Å; angles 88.02, 85.50, 63.88 degrees
With the nearest neighbours (Å) after each atom.
Fractional coordinates of all 24 atoms:
Sr  0.0184  0.4031  0.1441  7 N 2.58-2.88
Sr  0.5785  0.4031  0.3559  7 N 2.58-2.88
Sr  0.9816  0.5969  0.8559  7 N 2.58-2.88
Sr  0.4215  0.5969  0.6441  7 N 2.58-2.88
Sr  0.8715  0.7840  0.4259  7 N 2.62-2.79
Sr  0.3445  0.7840  0.0741  7 N 2.62-2.79
Sr  0.1285  0.2160  0.5741  7 N 2.62-2.79
Sr  0.6555  0.2160  0.9259  7 N 2.62-2.79
Ru  0.2734  0.0060  0.3304  4 N 1.85-1.97
Ru  0.7206  0.0060  0.1696  4 N 1.85-1.97
Ru  0.7266  0.9940  0.6696  4 N 1.85-1.97
Ru  0.2794  0.9940  0.8304  4 N 1.85-1.97
N  0.6113  0.7774  0.2500  2 Ru 1.97
N  0.3887  0.2226  0.7500  2 Ru 1.97
N  0.1362  0.3271  0.3670  1 Ru 1.85
N  0.5367  0.3271  0.1330  1 Ru 1.85
N  0.8638  0.6729  0.6330  1 Ru 1.85
N  0.4633  0.6729  0.8670  1 Ru 1.85
N  0.1576  0.1877  0.9559  1 Ru 1.88
N  0.6547  0.1877  0.5441  1 Ru 1.88
N  0.8424  0.8123  0.0441  1 Ru 1.88
N  0.3453  0.8123  0.4559  1 Ru 1.88
N  0.0011  0.9978  0.2500  2 Ru 1.87
N  0.9989  0.0022  0.7500  2 Ru 1.87

Properties
* E_form (uncorrected): -0.5397 eV/atom
* DOS at the Fermi energy: 0.54 states/eV/atom
* size of the total moment: 0.00 μB per cell

The following is a DFT calculation (GGA-PBEsol) of crystalline Sr5Ru2N6 at its relaxed geometry.

Cell lengths 6.1898, 6.1898, 13.0974 Å; angles 79.47, 79.47, 66.41 degrees
With the nearest neighbours (Å) after each atom.
Fractional coordinates of all 26 atoms:
Sr  0.6748  0.2002  0.9980  5 N 2.63-2.84
Sr  0.7998  0.3252  0.5020  5 N 2.63-2.84
Sr  0.3252  0.7998  0.0020  5 N 2.63-2.84
Sr  0.2002  0.6748  0.4980  5 N 2.63-2.84
Sr  0.7395  0.9427  0.7185  5 N 2.50-2.72
Sr  0.0573  0.2605  0.7815  5 N 2.50-2.72
Sr  0.2605  0.0573  0.2815  5 N 2.50-2.72
Sr  0.9427  0.7395  0.2185  5 N 2.50-2.72
Sr  0.3811  0.6189  0.7500  6 N 2.55-2.79
Sr  0.6189  0.3811  0.2500  6 N 2.55-2.79
Ru  0.3326  0.1283  0.5585  3 N 1.83-1.89
Ru  0.8717  0.6674  0.9415  3 N 1.83-1.89
Ru  0.6674  0.8717  0.4415  3 N 1.83-1.89
Ru  0.1283  0.3326  0.0585  3 N 1.83-1.89
N  0.1020  0.0082  0.6241  1 Ru 1.87
N  0.9918  0.8980  0.8759  1 Ru 1.87
N  0.8980  0.9918  0.3759  1 Ru 1.87
N  0.0082  0.1020  0.1241  1 Ru 1.87
N  0.3962  0.3093  0.6421  1 Ru 1.89
N  0.6907  0.6038  0.8579  1 Ru 1.89
N  0.6038  0.6907  0.3579  1 Ru 1.89
N  0.3093  0.3962  0.1421  1 Ru 1.89
N  0.6639  0.7485  0.5798  1 Ru 1.83
N  0.2515  0.3361  0.9202  1 Ru 1.83
N  0.3361  0.2515  0.4202  1 Ru 1.83
N  0.7485  0.6639  0.0798  1 Ru 1.83

Properties
* E_form (uncorrected): -0.5869 eV/atom
* DOS at the Fermi energy: 0.60 states/eV/atom
* size of the total moment: 0.00 μB per cell

The following is a DFT calculation (GGA-PBEsol) of crystalline Sr3RuN3 at its relaxed geometry.

Cell lengths 5.2491, 7.6727, 7.6727 Å; angles 120.00, 90.00, 90.00 degrees
With the nearest neighbours (Å) after each atom.
Fractional coordinates of all 14 atoms:
Sr  0.2500  0.3603  0.0933  5 N 2.65-2.84
Sr  0.2500  0.9067  0.2671  5 N 2.65-2.84
Sr  0.2500  0.7329  0.6397  5 N 2.65-2.84
Sr  0.7500  0.6397  0.9067  5 N 2.65-2.84
Sr  0.7500  0.0933  0.7329  5 N 2.65-2.84
Sr  0.7500  0.2671  0.3603  5 N 2.65-2.84
Ru  0.7500  0.6667  0.3333  3 N 1.85
Ru  0.2500  0.3333  0.6667  3 N 1.85
N  0.7500  0.4136  0.1071  1 Ru 1.85
N  0.7500  0.8929  0.3065  1 Ru 1.85
N  0.7500  0.6935  0.5864  1 Ru 1.85
N  0.2500  0.5864  0.8929  1 Ru 1.85
N  0.2500  0.1071  0.6935  1 Ru 1.85
N  0.2500  0.3065  0.4136  1 Ru 1.85

Properties
* E_form (uncorrected): -0.6416 eV/atom
* DOS at the Fermi energy: 0.77 states/eV/atom
* size of the total moment: 2.83 μB per cell

The following is a DFT calculation (GGA-PBEsol) of crystalline SrTe2RuN at its relaxed geometry.

Cell lengths 4.4881, 5.9532, 5.9532 Å; angles 90.00, 90.00, 90.00 degrees
With the nearest neighbours (Å) after each atom.
Fractional coordinates of all 5 atoms:
Ru  0.5000  0.5000  0.5000  8 Te 3.73
N  0.5000  0.0000  0.0000  2 Sr 2.24
Te  0.0000  0.0000  0.5000  2 Sr 2.98
Te  0.0000  0.5000  0.0000  2 Sr 2.98
Sr  0.0000  0.0000  0.0000  2 N 2.24

Properties
* E_form (uncorrected): 1.7363 eV/atom
* DOS at the Fermi energy: 1.64 states/eV/atom
* size of the total moment: 5.35 μB per cell

The following is a DFT calculation (GGA-PBEsol) of crystalline Ta3RuN at its relaxed geometry.

Cell lengths 3.0663, 5.6904, 8.4793 Å; angles 90.00, 90.00, 105.63 degrees
With the nearest neighbours (Å) after each atom.
Fractional coordinates of all 10 atoms:
Ru  0.7457  0.4915  0.2500  8 Ta 2.67-2.81
Ru  0.2543  0.5085  0.7500  8 Ta 2.67-2.81
N  0.0000  0.0000  0.0000  6 Ta 2.14-2.17
N  0.0000  0.0000  0.5000  6 Ta 2.14-2.17
Ta  0.3684  0.7368  0.0473  2 N 2.14
Ta  0.6316  0.2632  0.5473  2 N 2.14
Ta  0.6316  0.2632  0.9527  2 N 2.14
Ta  0.3684  0.7368  0.4527  2 N 2.14
Ta  0.0419  0.0838  0.2500  2 N 2.17
Ta  0.9581  0.9162  0.7500  2 N 2.17

Properties
* E_form (uncorrected): -0.7088 eV/atom
* DOS at the Fermi energy: 0.62 states/eV/atom
* size of the total moment: 0.00 μB per cell

The following is a DFT calculation (GGA-PBEsol) of crystalline TcRuN3 at its relaxed geometry.

Cell lengths 3.8035, 3.8035, 3.8035 Å; angles 90.00, 90.00, 90.00 degrees
With the nearest neighbours (Å) after each atom.
Fractional coordinates of all 5 atoms:
Ru  0.5000  0.5000  0.5000  12 N 2.69
Tc  0.0000  0.0000  0.0000  6 N 1.90
N  0.0000  0.5000  0.0000  2 Tc 1.90
N  0.0000  0.0000  0.5000  2 Tc 1.90
N  0.5000  0.0000  0.0000  2 Tc 1.90

Properties
* E_form (uncorrected): 1.2129 eV/atom
* DOS at the Fermi energy: 0.81 states/eV/atom
* size of the total moment: 1.71 μB per cell

The following is a DFT calculation (GGA-PBEsol) of crystalline TiTe2RuN at its relaxed geometry.

Cell lengths 3.6031, 5.3304, 5.3304 Å; angles 90.00, 90.00, 90.00 degrees
With the nearest neighbours (Å) after each atom.
Fractional coordinates of all 5 atoms:
Ru  0.0000  0.0000  0.0000  2 N 1.80
N  0.5000  0.0000  0.0000  2 Ru 1.80
Te  0.0000  0.0000  0.5000  2 Ru 2.67
Te  0.0000  0.5000  0.0000  2 Ru 2.67
Ti  0.5000  0.5000  0.5000  8 Te 3.22

Properties
* E_form (uncorrected): 0.2595 eV/atom
* DOS at the Fermi energy: 1.32 states/eV/atom
* size of the total moment: 1.69 μB per cell

The following is a DFT calculation (GGA-PBEsol) of crystalline TlTe2RuN at its relaxed geometry.

Cell lengths 3.9598, 5.6493, 5.6493 Å; angles 90.00, 90.00, 90.00 degrees
With the nearest neighbours (Å) after each atom.
Fractional coordinates of all 5 atoms:
Ru  0.5000  0.5000  0.5000  8 Te 3.45
Tl  0.0000  0.0000  0.0000  2 N 1.98
Te  0.0000  0.0000  0.5000  2 Tl 2.82
Te  0.0000  0.5000  0.0000  2 Tl 2.82
N  0.5000  0.0000  0.0000  2 Tl 1.98

Properties
* E_form (uncorrected): 1.9045 eV/atom
* DOS at the Fermi energy: 1.36 states/eV/atom
* size of the total moment: 3.42 μB per cell